(1)
12
Lattice="4.1564 0.0000 0.0000 0.0000 5.2440 0.0000 0.0000 0.0000 9.0825" Properties=species:S:1:pos:R:3 comment="PBE-GGA Ca2Zn5Cu5, relaxed" de_polymorph_mev_per_atom=0 magnetic_moment_mub_per_atom=0.000 e_form_mev_per_atom=-213.9 pbc="T T T"
Ca 0.0000 0.0000 0.0000
Ca 0.0000 2.6220 4.5413
Zn 2.0782 0.0000 4.5413
Zn 2.0782 1.3158 2.2171
Zn 2.0782 1.3158 6.8655
Zn 2.0782 3.9283 2.2171
Zn 2.0782 3.9283 6.8655
Cu 0.0000 0.0000 3.0354
Cu 0.0000 0.0000 6.0471
Cu 0.0000 2.6220 1.4804
Cu 0.0000 2.6220 7.6022
Cu 2.0782 2.6220 0.0000

=====

(2)
4
Lattice="1.4354 0.8287 9.1959 -1.4354 0.8287 9.1959 0.0000 -1.6574 9.1959" Properties=species:S:1:pos:R:3 comment="PBE-GGA Zn2CdIr, relaxed" magnetic_moment_mub_per_atom=0.008 e_form_mev_per_atom=113.2 pbc="T T T"
Zn 0.0000 0.0000 0.0000
Zn 0.0000 0.0000 6.9850
Cd 0.0000 0.0000 20.9547
Ir 0.0000 0.0000 14.1561